Computed, not measured: a relaxed structure of CeGdHgSb at the GGA-PBE level of DFT.

POSCAR file:
```
CeGdHgSb
1.0
-0.105 5.382 0.192
-4.669 2.625 -0.573
-2.219 2.502 4.223
Gd Ce Sb Hg
1 1 1 1
Direct
0.750 0.750 0.750 Gd
0.250 0.250 0.250 Ce
0.000 0.000 0.000 Sb
0.500 0.500 0.500 Hg
```

Computed properties:
Total DFT energy (no corrections): -6.715 eV/atom
Raw formation energy: -605.0 meV per atom
Mass density: 9.31 g/cm3
DOS at the Fermi energy: 10.0 states/eV/f.u.

Computed, not measured: a relaxed structure of ErTh2Sn at the GGA-PBE level of DFT.

POSCAR file:
```
ErTh2Sn
1.0
4.193 0.000 0.000
0.000 4.193 0.000
0.000 0.000 6.940
Th Sn Er
2 1 1
Direct
0.000 0.000 0.771 Th
0.000 0.000 0.229 Th
0.500 0.500 0.000 Sn
0.500 0.500 0.500 Er
```

Computed properties:
Total DFT energy (no corrections): -6.079 eV/atom
DFT formation energy: -0.91 eV/f.u.
Mass density: 10.21 g/cm3
Distance to the lowest polymorph of the same formula: 2.65 kcal/mol of atoms
DOS at the Fermi energy: 4.8 states/eV/f.u.

Computed, not measured: a relaxed structure of La4TbPm2Er2 at the GGA-PBE level of DFT.

POSCAR file:
```
La4TbPm2Er2
1.0
5.196 0.000 0.000
-2.598 7.772 0.037
0.000 -2.617 7.674
La Pm Er Tb
4 2 2 1
Direct
0.777 0.553 0.670 La
0.223 0.447 0.330 La
0.554 0.109 0.328 La
0.446 0.891 0.672 La
0.888 0.776 0.329 Pm
0.112 0.224 0.671 Pm
0.667 0.335 0.000 Er
0.333 0.665 0.000 Er
0.000 0.000 0.000 Tb
```

Computed properties:
Total DFT energy (no corrections): -4.745 eV/atom
DFT formation energy: 0.26 eV/f.u.
Mass density: 7.16 g/cm3
DOS at the Fermi energy: 16.5 states/eV/f.u.

Computed, not measured: a relaxed structure of Ag2SnH2 at the GGA-PBE level of DFT.

POSCAR file:
```
Ag2SnH2
1.0
-2.214 1.173 2.960
-3.097 0.043 -2.333
-3.553 -3.884 1.422
H Sn Ag
2 1 2
Direct
0.250 0.750 0.500 H
0.750 0.250 0.500 H
0.000 0.000 0.000 Sn
0.662 0.662 0.676 Ag
0.338 0.338 0.324 Ag
```

Computed properties:
Total DFT energy (no corrections): -2.888 eV/atom
Mass density: 7.88 g/cm3
Distance to the lowest polymorph of the same formula: 0.00 kcal/mol of atoms
DOS at the Fermi energy: 1.1 states/eV/f.u.

Computed, not measured: a relaxed structure of SrMgW2 at the GGA-PBE level of DFT.

POSCAR file:
```
SrMgW2
1.0
-1.822 1.081 -1.821
-1.586 -2.289 0.229
-5.084 4.287 7.631
W Sr Mg
2 1 1
Direct
0.000 0.000 0.474 W
0.000 0.000 0.026 W
0.500 0.500 0.750 Sr
0.500 0.500 0.250 Mg
```

Computed properties:
Total DFT energy (no corrections): -6.352 eV/atom
DFT formation energy: 3.77 eV/f.u.
Mass density: 10.08 g/cm3
DOS at the Fermi energy: 1.5 states/eV/f.u.

Computed, not measured: a relaxed structure of LiTlGa2Cu at the GGA-PBE level of DFT.

POSCAR file:
```
LiTlGa2Cu
1.0
4.665 0.000 0.000
0.000 4.665 0.000
0.000 0.000 4.914
Ga Cu Tl Li
2 1 1 1
Direct
0.000 0.500 0.000 Ga
0.500 0.000 0.000 Ga
0.000 0.000 0.000 Cu
0.500 0.500 0.500 Tl
0.000 0.000 0.500 Li
```

Computed properties:
Total DFT energy (no corrections): -2.874 eV/atom
DFT formation energy: 0.06 eV/f.u.
Mass density: 6.43 g/cm3
DOS at the Fermi energy: 1.7 states/eV/f.u.

Computed, not measured: a relaxed structure of Pm6PS5 at the GGA-PBE level of DFT.

POSCAR file:
```
Pm6PS5
1.0
-2.434 -5.214 -4.014
3.780 5.169 -2.867
5.108 -3.432 3.390
Pm P S
6 1 5
Direct
0.082 0.409 0.246 Pm
0.918 0.591 0.754 Pm
0.409 0.082 0.246 Pm
0.591 0.918 0.754 Pm
0.753 0.753 0.245 Pm
0.247 0.247 0.755 Pm
0.000 0.000 0.000 P
0.667 0.333 0.000 S
0.833 0.167 0.500 S
0.500 0.500 0.500 S
0.167 0.833 0.500 S
0.333 0.667 0.000 S
```

Computed properties:
Total DFT energy (no corrections): -6.532 eV/atom
Raw formation energy: -1986.6 meV per atom
Mass density: 6.24 g/cm3
DOS at the Fermi energy: 5.4 states/eV/f.u.

Computed, not measured: a relaxed structure of TbSb2Pd7Au2 at the GGA-PBE level of DFT.

POSCAR file:
```
TbSb2Pd7Au2
1.0
4.114 0.021 0.321
0.026 4.114 0.321
3.157 3.153 13.399
Pd Sb Au Tb
7 2 2 1
Direct
0.248 0.248 0.500 Pd
0.162 0.662 0.838 Pd
0.752 0.752 0.500 Pd
0.500 0.500 0.000 Pd
0.338 0.838 0.162 Pd
0.662 0.162 0.838 Pd
0.838 0.338 0.162 Pd
0.672 0.672 0.327 Sb
0.328 0.328 0.673 Sb
0.814 0.814 0.686 Au
0.186 0.186 0.314 Au
0.000 0.000 0.000 Tb
```

Computed properties:
Total DFT energy (no corrections): -5.060 eV/atom
Raw formation energy: -411.2 meV per atom
Mass density: 11.71 g/cm3
DOS at the Fermi energy: 4.9 states/eV/f.u.